Computed, not measured: a relaxed MgZrSe2 crystal at the PBE level of DFT.

abc: 3.8748 3.8748 5.6045
angles: 90.00 90.00 90.00
Last column: nearest neighbours and their distance in Å.
Fractional positions:
Mg  0.0000  0.0000  0.0000  6 Se 2.74-2.81
Zr  0.5000  0.5000  0.5036  6 Se 2.74-2.80
Se  0.0000  0.0000  0.5013  4 Zr 2.74, 2 Mg 2.79-2.81
Se  0.5000  0.5000  0.0037  4 Mg 2.74, 2 Zr 2.80

Calculated values
Crystal system ... tetragonal
Fermi-level density of states ... 3.0 states/eV per cell
Symmetry ... P4mm
E_form (uncorrected) ... -1015.6 meV per atom